# 1
Here is crystalline CrAsP2 at its relaxed geometry from Alexandria via LeMat-Bulk. Energies are from GGA-PBEsol.

Values from the calculation:
* crystal system: cubic
* formation enthalpy at 0 K: 0.4599 eV/atom
* E_tot: -6.273 eV/atom

a b c (Å): 4.222 4.222 4.222
angles (deg): 60.00 60.00 60.00
Each line ends with the local moment (μB).
Element x y z (fractional)
As 0.500 0.500 0.500  -0.01
Cr 0.250 0.250 0.250  0.20
P 0.000 0.000 0.000  -0.01
P 0.750 0.750 0.750  -0.01

---

# 2
Here is crystalline Cr3AsP at its relaxed geometry from Alexandria via LeMat-Bulk. Energies are from GGA-PBEsol.

Values from the calculation:
* crystal system: cubic
* formation enthalpy at 0 K: 0.5771 eV/atom
* E_tot: -7.748 eV/atom

a b c (Å): 4.258 4.258 4.258
angles (deg): 90.00 90.00 90.00
Each line ends with the local moment (μB).
Element x y z (fractional)
Cr 0.000 0.500 0.000  2.04
Cr 0.000 0.000 0.500  2.04
Cr 0.500 0.000 0.000  2.04
As 0.500 0.500 0.500  -0.10
P 0.000 0.000 0.000  -0.11

---

# 3
Here is crystalline Cr2AsP at its relaxed geometry from Alexandria via LeMat-Bulk. Energies are from GGA-PBEsol.

Values from the calculation:
* crystal system: cubic
* formation enthalpy at 0 K: -0.1108 eV/atom
* E_tot: -7.956 eV/atom

a b c (Å): 4.066 4.066 4.066
angles (deg): 60.00 60.00 60.00
Element x y z (fractional)
As 0.500 0.500 0.500
Cr 0.250 0.250 0.250
Cr 0.750 0.750 0.750
P 0.000 0.000 0.000

---

# 4
Here is crystalline Cr2AsP at its relaxed geometry from Alexandria via LeMat-Bulk. Energies are from GGA-PBEsol.

Values from the calculation:
* crystal system: tetragonal
* formation enthalpy at 0 K: 0.2939 eV/atom
* E_tot: -7.552 eV/atom

a b c (Å): 5.363 5.363 6.576
angles (deg): 114.06 114.06 90.00
Each line ends with the local moment (μB).
Element x y z (fractional)
Cr 0.393 0.875 0.250  2.56
Cr 0.857 0.375 0.250  2.56
Cr 0.125 0.143 0.750  2.56
Cr 0.625 0.607 0.750  2.56
As 0.250 0.750 0.500  -0.17
As 0.000 0.000 0.000  -0.17
P 0.750 0.250 0.500  -0.18
P 0.500 0.500 0.000  -0.18